Here is crystalline RbSr at its relaxed geometry from Alexandria. Energies are from PBE-GGA.

**Total energy**: -5.0 eV per cell
**Formation energy from the elements**: 0.08 eV/atom
**Total magnetization**: 0.0 Bohr magnetons per cell

a b c (Å): 4.4230 4.4050 14.0101
angles (deg): 90.00 90.06 90.00
Space group P2_1/m (No. 11)
Symmetry-distinct sites (fractional):
Rb: 0.2482 0.2500 0.1440 [2 per cell]
Sr: 0.2505 0.2500 0.6034 [2 per cell]